Run A
## Y2TaPt (SCAN)

Data for Y2TaPt at its PBEsol-relaxed geometry.

extended XYZ file:
```
4
Lattice="-3.9102 0.3810 -1.2345 -0.3902 -4.0995 -0.0295 0.6651 1.9665 5.3690" Properties=species:S:1:pos:R:3 pbc="T T T"
Pt -2.1502 -1.8592 -0.6320
Ta -0.9376 -1.9961 2.3538
Y 0.0000 0.0000 0.0000
Y -2.6976 0.2442 1.7512
```

volume = 21.05 A^3/atom
magnetization = 0.000 Bohr magnetons per cell

=====

Run B
## Y2TaPt (SCAN)

Data for Y2TaPt at its PBEsol-relaxed geometry.

extended XYZ file:
```
4
Lattice="-2.3815 -1.2552 -1.8372 -1.2554 -1.4638 2.6274 -4.8645 6.9578 1.5521" Properties=species:S:1:pos:R:3 pbc="T T T"
Pt -2.6316 3.7641 0.8397
Ta -5.2370 3.5302 1.4859
Y -4.6207 6.6091 1.4743
Y -3.3087 0.7721 0.8706
```

volume = 22.92 A^3/atom
magnetization = 0.034 Bohr magnetons per cell

=====

Which of them is the most stable, and which is the least stable? run B and run A, in that order.